{
  "formula": "Pm2Zn6Pd3",
  "functional": "PBE-GGA",
  "state": "optimized geometry",
  "e_form_kcal_per_mol_atoms": -11.24,
  "dos_at_fermi_per_ev_cell": 6.22,
  "sg": "P-62m (189)",
  "lattice_angstrom": [[7.7199, 0.0000, 0.0000], [-3.8599, 6.6856, 0.0000], [0.0000, 0.0000, 4.0439]],
  "species": ["Pm", "Pm", "Zn", "Zn", "Zn", "Zn", "Zn", "Zn", "Pd", "Pd", "Pd"],
  "fractional_positions": [[0.3333, 0.6667, 0.0000], [0.6667, 0.3333, 0.0000], [0.0000, 0.2722, 0.5000], [0.0000, 0.8083, 0.0000], [0.1917, 0.1917, 0.0000], [0.2722, 0.0000, 0.5000], [0.7278, 0.7278, 0.5000], [0.8083, 0.0000, 0.0000], [0.0000, 0.6048, 0.5000], [0.3952, 0.3952, 0.5000], [0.6048, 0.0000, 0.5000]]
}